First-principles (PBE) data for an optimized crystal structure of PrPaMoN3, as listed in the Alexandria database.

Results
density of states at the Fermi level = 7.06 states/eV/cell
formation energy (no corrections) = -999 meV per atom
spin magnetization = 0.07 μB/atom
space group = P2_1/m

a = 3.3640 Å, b = 7.5102 Å, c = 7.8608 Å
α = 98.42°, β = 90.00°, γ = 90.00°
Site moments in Bohr magnetons follow the coordinates.
Sites, in units of the cell vectors:
Pa 0.2500 0.6446 0.1682  0.16
Pa 0.7500 0.3554 0.8318  0.16
Mo 0.7500 0.8922 0.4178  0.15
Mo 0.2500 0.1078 0.5822  0.15
N 0.2500 0.5765 0.8831  0.00
N 0.7500 0.8670 0.1435  0.00
N 0.2500 0.1330 0.8565  0.00
N 0.2500 0.8203 0.5686  0.00
N 0.7500 0.1797 0.4314  0.00
N 0.7500 0.4235 0.1169  0.00
Pr 0.7500 0.8409 0.8128  0.00
Pr 0.2500 0.1591 0.1872  0.00